First-principles (PBE-GGA) data for crystalline RbCe4Cu3Se12 at its relaxed geometry, as listed in the Alexandria database.

Calculated values
As for the volume: 1113.5 Å³ per cell. For the formation energy from raw total energies, the calculation gives -0.94 eV per atom. The raw total energy is -4.88 eV per atom.

abc: 10.3648 10.3648 10.3648
angles: 90.00 90.00 90.00
With the nearest neighbours (Å) after each atom.
Space group Im-3 (No. 204)
Unique sites:
Rb 0.0000 0.0000 0.0000 (multiplicity 2)  12 Se 3.78
Ce 0.2500 0.2500 0.2500 (multiplicity 8)  6 Se 2.87
Cu 0.0000 0.0000 0.5000 (multiplicity 6)  4 Se 2.43
Se 0.0000 0.3280 0.1588 (multiplicity 24)  1 Cu 2.43